Entry 1:
! TbZnCuGe2 | Alexandria | PBE | relaxed; values from VASP
&SYSTEM
  ibrav = 0, nat = 5, ntyp = 4
/
ATOMIC_SPECIES
Tb 158.93 Tb.upf
Zn 65.41 Zn.upf
Cu 63.55 Cu.upf
Ge 72.64 Ge.upf
ATOMIC_POSITIONS angstrom
Tb 0.0000 0.0000 0.0000
Zn 1.5003 2.2545 2.0482
Cu 1.9259 -0.5074 2.7500
Ge -0.2327 0.7378 3.0446
Ge 3.6588 1.0094 1.7536
CELL_PARAMETERS angstrom
-1.7534 3.1975 1.8179
-0.9022 -2.3262 3.2214
6.0818 0.8759 -0.2411
! DFT total energy = -4.2638 eV per atom
! ρ = 7.975 Mg/m³
! Space group = I-4m2 (119)
! Crystal system = tetragonal

Entry 2:
! CuTcGe2 | Alexandria | PBE | relaxed; values from VASP
&SYSTEM
  ibrav = 0, nat = 8, ntyp = 3
/
ATOMIC_SPECIES
Ge 72.64 Ge.upf
Tc 98.00 Tc.upf
Cu 63.55 Cu.upf
ATOMIC_POSITIONS angstrom
Ge 5.0072 1.7026 0.6928
Ge 1.8031 5.1078 0.6928
Ge 5.1078 5.2083 2.0783
Ge 8.5130 8.4124 2.0783
Tc 0.0000 0.0000 0.0000
Tc 6.8104 3.4052 1.3855
Cu 3.4052 3.4052 0.0000
Cu 3.4052 6.8104 1.3855
CELL_PARAMETERS angstrom
6.8104 0.0000 0.0000
0.0000 6.8104 0.0000
3.4052 3.4052 2.7711
! DFT total energy = -5.4375 eV per atom
! ρ = 7.928 Mg/m³
! Space group = I-42d (122)
! Crystal system = tetragonal

Entry 3:
! Cu3TcGe | Alexandria | PBE | relaxed; values from VASP
&SYSTEM
  ibrav = 0, nat = 5, ntyp = 3
/
ATOMIC_SPECIES
Ge 72.64 Ge.upf
Tc 98.00 Tc.upf
Cu 63.55 Cu.upf
ATOMIC_POSITIONS angstrom
Ge 0.0000 0.0000 0.0000
Tc -2.5873 -0.8480 2.6727
Cu -0.8486 -2.0007 0.3591
Cu 0.2753 0.2724 2.1684
Cu -2.0140 0.8803 0.1451
CELL_PARAMETERS angstrom
-4.0280 1.7606 0.2903
-1.6973 -4.0015 0.7182
0.5507 0.5449 4.3369
! DFT total energy = -4.4099 eV per atom
! ρ = 7.016 Mg/m³
! Space group = Pm-3m (221)
! Crystal system = cubic

Entry 4:
! CuTc2Ge4 | Alexandria | PBE | relaxed; values from VASP
&SYSTEM
  ibrav = 0, nat = 7, ntyp = 3
/
ATOMIC_SPECIES
Ge 72.64 Ge.upf
Tc 98.00 Tc.upf
Cu 63.55 Cu.upf
ATOMIC_POSITIONS angstrom
Ge 2.3438 2.3438 3.7332
Ge 4.6876 4.6876 2.4139
Ge 0.0000 2.3438 0.0000
Ge 2.3438 0.0000 0.0000
Tc 2.3438 2.3438 1.2658
Tc 4.6876 4.6876 4.8813
Cu 0.0000 0.0000 0.0000
CELL_PARAMETERS angstrom
4.6876 0.0000 0.0000
0.0000 4.6876 0.0000
2.3438 2.3438 6.1471
! DFT total energy = -5.4891 eV per atom
! ρ = 6.763 Mg/m³
! Space group = I4/mmm (139)
! Crystal system = tetragonal